Entry 1:
DFT (PBE) results for a geometry-optimized Zn8In structure.

* formation energy from the elements: 0.059 eV/atom

Lattice parameters (Å, degrees): 8.5714 8.5714 4.0347 90.00 90.00 90.00
Closest atoms and distances in Å follow each position.
Space group I4/mmm (No. 139)
Unique sites:
1 Zn 0.0000 0.3414 0.0000 [8 per cell]  11 Zn 2.72-2.89, 1 In 2.93
2 Zn 0.1760 0.1760 0.5000 [8 per cell]  10 Zn 2.70-3.02, 2 In 2.94
3 In 0.0000 0.0000 0.0000 [2 per cell]  12 Zn 2.93-2.94


Entry 2:
DFT (PBE) results for a geometry-optimized ZnIn structure.

* formation energy from the elements: 0.171 eV/atom

Lattice parameters (Å, degrees): 5.0556 11.0371 13.8146 90.00 90.00 90.00
Closest atoms and distances in Å follow each position.
Space group Fddd (No. 70, origin choice 2)
Unique sites:
1 Zn 0.1198 0.3750 0.3750 [16 per cell]  2 Zn 2.48-2.58
2 In 0.1250 0.1250 0.4376 [16 per cell]  4 Zn 2.89, 2 In 3.06


Entry 3:
DFT (PBE) results for a geometry-optimized ZnIn2 structure.

* formation energy from the elements: 0.086 eV/atom

Lattice parameters (Å, degrees): 12.3851 3.4660 6.7519 90.00 102.08 90.00
Closest atoms and distances in Å follow each position.
Space group Cm (No. 8)
Unique sites:
1 Zn 0.0000 0.0000 0.0000 [2 per cell]  5 In 2.93-3.02, 2 Zn 3.11
2 Zn 0.1738 0.5000 0.2877 [2 per cell]  7 In 2.94-3.28, 2 Zn 3.11
3 In 0.0226 0.0000 0.4542 [2 per cell]  3 Zn 2.94-3.02, 4 In 3.19-3.29
4 In 0.1480 0.5000 0.8287 [2 per cell]  3 Zn 2.93-3.05, 4 In 3.19-3.28
5 In 0.3356 0.0000 0.1399 [2 per cell]  4 Zn 2.97-2.98, 4 In 3.28-3.29
6 In 0.3358 0.0000 0.6417 [2 per cell]  4 Zn 3.28-3.31, 8 In 3.34-3.47